*w*
Sc2Rh2Au | Alexandria via LeMat-Bulk | GGA-PBE | optimized geometry; symmetry = I4/mmm (139); mass density = 8.439 g/cm³
1.0
3.693 0.000 0.000
0.000 3.693 0.000
1.846 1.846 7.109
Sc Rh Au
2 2 1
Direct
0.387 0.387 0.226
0.613 0.613 0.774
0.750 0.250 0.500
0.250 0.750 0.500
0.000 0.000 0.000

***

*x*
Sc2Rh2Au | Alexandria via LeMat-Bulk | GGA-PBE | optimized geometry; symmetry = P4/mbm (127); mass density = 9.274 g/cm³
1.0
-1.891 -6.637 -2.633
5.979 -2.960 3.169
-1.709 -0.578 2.684
Sc Rh Au
4 4 2
Direct
0.165 0.665 0.500
0.665 0.835 0.500
0.835 0.335 0.500
0.335 0.165 0.500
0.364 0.864 0.000
0.864 0.636 0.000
0.636 0.136 0.000
0.136 0.364 0.000
0.000 0.000 0.000
0.500 0.500 0.000

***

It is *w* that is the least stable of them.

***

*w*
Sc2RhAu2 | Alexandria via LeMat-Bulk | GGA-PBE | optimized geometry; symmetry = P4/mbm (127); mass density = 10.059 g/cm³
1.0
-7.071 0.059 -2.099
1.054 -6.277 -3.728
-0.877 -1.870 2.901
Sc Rh Au
4 2 4
Direct
0.336 0.836 0.000
0.836 0.664 0.000
0.664 0.164 0.000
0.164 0.336 0.000
0.000 0.000 0.000
0.500 0.500 0.000
0.137 0.637 0.500
0.637 0.863 0.500
0.863 0.363 0.500
0.363 0.137 0.500

***

*x*
Sc2RhAu2 | Alexandria via LeMat-Bulk | GGA-PBE | optimized geometry; symmetry = P4/mbm (127); mass density = 10.225 g/cm³
1.0
7.447 0.000 0.000
0.000 7.447 0.000
0.000 0.000 3.437
Sc Rh Au
4 2 4
Direct
0.173 0.673 0.500
0.673 0.827 0.500
0.827 0.327 0.500
0.327 0.173 0.500
0.000 0.000 0.000
0.500 0.500 0.000
0.368 0.868 0.000
0.868 0.632 0.000
0.632 0.132 0.000
0.132 0.368 0.000

***

It is *w* that is the least stable of them.

***

*w*
RhAu3Se | Alexandria via LeMat-Bulk | GGA-PBE | optimized geometry; symmetry = Pm-3m (221); mass density = 11.284 g/cm³
1.0
4.845 0.000 0.000
0.000 4.845 0.000
0.000 0.000 4.845
Rh Au Se
1 3 1
Direct
0.500 0.500 0.500
0.000 0.500 0.000
0.000 0.000 0.500
0.500 0.000 0.000
0.000 0.000 0.000

***

*x*
RhAu3Se | Alexandria via LeMat-Bulk | GGA-PBE | optimized geometry; symmetry = Pm-3m (221); mass density = 10.281 g/cm³
1.0
-2.360 -2.455 3.657
-0.952 -3.767 -3.143
4.301 -2.181 1.311
Rh Au Se
1 3 1
Direct
0.000 0.000 0.000
0.000 0.500 0.000
0.000 0.000 0.500
0.500 0.000 0.000
0.500 0.500 0.500

***

It is *x* that is the least stable of them.

***

*w*
RhAuSe | Alexandria via LeMat-Bulk | GGA-PBE | optimized geometry; symmetry = F-43m (216); mass density = 10.695 g/cm³
1.0
4.365 0.000 0.000
2.183 3.780 0.000
2.183 1.260 3.564
Au Rh Se
1 1 1
Direct
0.500 0.500 0.500
0.750 0.750 0.750
0.000 0.000 0.000

***

*x*
RhAuSe | Alexandria via LeMat-Bulk | GGA-PBE | optimized geometry; symmetry = I4mm (107); mass density = 11.672 g/cm³
1.0
6.242 -0.059 0.063
5.534 2.889 0.064
0.708 0.169 2.943
Au Rh Se
1 1 1
Direct
0.985 0.985 0.015
0.314 0.314 0.686
0.701 0.701 0.299

***

It is *w* that is the least stable of them.